LaMnCl2 after structural relaxation, computed with PBE-GGA.

Final energy ... -5.238 eV/atom
Polymorph energy (0 for the lowest one) ... 0.191 eV per atom
Space group ... Fm-3m
Fermi-level density of states ... 2.22 states/eV/cell
Energy relative to the elements, uncorrected ... -0.7899 eV per atom

Cell: 5.0184 5.0184 5.0184 Å, 60.00 60.00 60.00°
Closest atoms and distances in Å follow each position.
Sites, in units of the cell vectors:
1 Cl 0.2500 0.2500 0.2500  4 La 3.07, 4 Mn 3.07
2 Cl 0.7500 0.7500 0.7500  4 Mn 3.07, 4 La 3.07
3 Mn 0.0000 0.0000 0.0000  8 Cl 3.07
4 La 0.5000 0.5000 0.5000  8 Cl 3.07

=====

LaMnCl2 after structural relaxation, computed with PBE-GGA.

Final energy ... -5.179 eV/atom
Polymorph energy (0 for the lowest one) ... 0.250 eV per atom
Space group ... I-4m2
Fermi-level density of states ... 4.30 states/eV/cell
Energy relative to the elements, uncorrected ... -0.7310 eV per atom

Cell: 6.2625 6.2625 6.2625 Å, 141.64 141.64 55.37°
Closest atoms and distances in Å follow each position.
Sites, in units of the cell vectors:
1 Cl 0.0000 0.0000 0.0000  4 La 2.91
2 Cl 0.2500 0.7500 0.5000  4 Mn 2.91
3 Mn 0.7500 0.2500 0.5000  4 Cl 2.91
4 La 0.5000 0.5000 0.0000  4 Cl 2.91

=====

LaMnCl after structural relaxation, computed with PBE-GGA.

Final energy ... -5.674 eV/atom
Space group ... P3m1
Fermi-level density of states ... 3.54 states/eV/cell
Energy relative to the elements, uncorrected ... -0.3596 eV per atom

Cell: 3.6030 3.6030 6.8890 Å, 90.00 90.00 120.00°
Closest atoms and distances in Å follow each position.
Sites, in units of the cell vectors:
1 Cl 0.0000 0.0000 0.9980  3 Mn 3.01, 3 La 3.04
2 La 0.6667 0.3333 0.3199  3 Cl 3.04, 3 Mn 3.25
3 Mn 0.3333 0.6667 0.6821  3 Cl 3.01, 3 La 3.25

=====

La2MnCl after structural relaxation, computed with PBE-GGA.

Final energy ... -5.669 eV/atom
Polymorph energy (0 for the lowest one) ... 0.126 eV per atom
Space group ... Imm2
Fermi-level density of states ... 2.03 states/eV/cell
Energy relative to the elements, uncorrected ... -0.4509 eV per atom

Cell: 8.2422 8.2422 8.2422 Å, 153.92 155.43 36.14°
Closest atoms and distances in Å follow each position.
Sites, in units of the cell vectors:
1 Cl 0.3003 0.8003 0.5000  6 La 3.08-3.30
2 La 0.9616 0.9616 0.0000  2 Cl 3.08, 4 Mn 3.08
3 La 0.6667 0.1667 0.5000  2 Mn 2.39
4 Mn 0.5714 0.5714 0.0000  2 La 2.39

=====

La2MnCl after structural relaxation, computed with PBE-GGA.

Final energy ... -5.551 eV/atom
Polymorph energy (0 for the lowest one) ... 0.243 eV per atom
Space group ... I-42d
Fermi-level density of states ... 6.75 states/eV/cell
Energy relative to the elements, uncorrected ... -0.3333 eV per atom

Cell: 6.6215 6.6215 7.2992 Å, 63.03 63.03 90.00°
Closest atoms and distances in Å follow each position.
Sites, in units of the cell vectors:
1 Cl 0.5000 0.5000 0.0000  4 La 3.09
2 Cl 0.2500 0.7500 0.5000  4 La 3.09
3 Mn 0.0000 0.0000 0.0000  4 La 2.43
4 Mn 0.7500 0.2500 0.5000  4 La 2.43
5 La 0.7080 0.1250 0.2500  2 Mn 2.43
6 La 0.0420 0.6250 0.2500  2 Mn 2.43
7 La 0.3750 0.2920 0.7500  2 Mn 2.43
8 La 0.8750 0.9580 0.7500  2 Mn 2.43

=====

La2MnCl after structural relaxation, computed with PBE-GGA.

Final energy ... -5.728 eV/atom
Polymorph energy (0 for the lowest one) ... 0.067 eV per atom
Space group ... Amm2
Fermi-level density of states ... 3.73 states/eV/cell
Energy relative to the elements, uncorrected ... -0.5099 eV per atom

Cell: 5.8686 5.8686 4.8161 Å, 89.97 89.97 36.03°
Closest atoms and distances in Å follow each position.
Sites, in units of the cell vectors:
1 Cl 0.2604 0.2604 0.1248  7 La 2.93-3.21
2 La 0.9979 0.9979 0.1250  3 Cl 2.93-3.21, 4 Mn 3.03
3 La 0.7186 0.7186 0.6249  1 Mn 2.18
4 Mn 0.5230 0.5230 0.6253  1 La 2.18

=====

LaMn2Cl after structural relaxation, computed with PBE-GGA.

Final energy ... -6.053 eV/atom
Polymorph energy (0 for the lowest one) ... 0.434 eV per atom
Space group ... Cmmm
Fermi-level density of states ... 4.15 states/eV/cell
Energy relative to the elements, uncorrected ... 0.2257 eV per atom

Cell: 3.2935 3.2935 9.2872 Å, 90.00 90.00 117.34°
Closest atoms and distances in Å follow each position.
Sites, in units of the cell vectors:
1 Cl 0.5000 0.5000 0.2500  4 Mn 2.64
2 Mn 0.0000 0.0000 0.0336  2 Cl 2.64
3 Mn 0.0000 0.0000 0.4664  2 Cl 2.64
4 La 0.5000 0.5000 0.7500  4 Mn 3.14, 6 La 3.29-3.43

=====

LaMn2Cl after structural relaxation, computed with PBE-GGA.

Final energy ... -5.762 eV/atom
Polymorph energy (0 for the lowest one) ... 0.724 eV per atom
Space group ... Fm-3m
Fermi-level density of states ... 4.55 states/eV/cell
Energy relative to the elements, uncorrected ... 0.5164 eV per atom

Cell: 5.0487 5.0487 5.0487 Å, 60.00 60.00 60.00°
Closest atoms and distances in Å follow each position.
Sites, in units of the cell vectors:
1 Cl 0.0000 0.0000 0.0000  8 Mn 3.09
2 Mn 0.2500 0.2500 0.2500  4 La 3.09, 4 Cl 3.09
3 Mn 0.7500 0.7500 0.7500  4 La 3.09, 4 Cl 3.09
4 La 0.5000 0.5000 0.5000  8 Mn 3.09

=====

LaMnCl2 after structural relaxation, computed with PBE-GGA.

Final energy ... -5.234 eV/atom
Polymorph energy (0 for the lowest one) ... 0.195 eV per atom
Space group ... P2/m
Fermi-level density of states ... 2.24 states/eV/cell
Energy relative to the elements, uncorrected ... -0.7867 eV per atom

Cell: 4.6861 3.6596 5.8822 Å, 91.85 90.00 90.00°
Closest atoms and distances in Å follow each position.
Sites, in units of the cell vectors:
1 Cl 0.0000 0.9709 0.0037  2 Mn 2.88, 2 La 2.92
2 Cl 0.0000 0.5291 0.4963  2 Mn 2.88, 2 La 2.92
3 Mn 0.5000 0.7500 0.7500  4 Cl 2.88
4 La 0.5000 0.2500 0.2500  4 Cl 2.92

=====

LaMnCl2 after structural relaxation, computed with PBE-GGA.

Final energy ... -5.429 eV/atom
Polymorph energy (0 for the lowest one) ... 0.000 eV per atom
Space group ... Cmm2
Fermi-level density of states ... 1.52 states/eV/cell
Energy relative to the elements, uncorrected ... -0.9813 eV per atom

Cell: 3.6233 3.6231 7.8800 Å, 90.00 90.00 90.24°
Closest atoms and distances in Å follow each position.
Sites, in units of the cell vectors:
1 Cl 0.0000 0.0000 0.9035  4 Mn 2.73-2.74
2 Cl 0.5000 0.5000 0.3002  4 La 3.06-3.07
3 Mn 0.5000 0.5000 0.7822  4 Cl 2.73-2.74
4 La 0.0000 0.0000 0.5141  5 Cl 3.06-3.07, 4 Mn 3.32

=====

LaMnCl2 after structural relaxation, computed with PBE-GGA.

Final energy ... -5.248 eV/atom
Polymorph energy (0 for the lowest one) ... 0.181 eV per atom
Space group ... R-3m
Fermi-level density of states ... 1.80 states/eV/cell
Energy relative to the elements, uncorrected ... -0.8006 eV per atom

Cell: 10.3004 10.3004 10.3004 Å, 20.24 20.24 20.24°
Closest atoms and distances in Å follow each position.
Sites, in units of the cell vectors:
1 Cl 0.9832 0.9832 0.9832  3 La 2.90
2 Cl 0.5168 0.5168 0.5168  3 La 2.90
3 Mn 0.7500 0.7500 0.7500  6 Mn 3.62, 6 Cl 3.68
4 La 0.2500 0.2500 0.2500  6 Cl 2.90

=====

La2MnCl after structural relaxation, computed with PBE-GGA.

Final energy ... -5.061 eV/atom
Polymorph energy (0 for the lowest one) ... 0.734 eV per atom
Space group ... F-43m
Fermi-level density of states ... 6.41 states/eV/cell
Energy relative to the elements, uncorrected ... 0.1572 eV per atom

Cell: 5.2654 5.2654 5.2654 Å, 60.00 60.00 60.00°
Closest atoms and distances in Å follow each position.
Sites, in units of the cell vectors:
1 Cl 0.5000 0.5000 0.5000  4 Mn 3.22, 4 La 3.22
2 La 0.0000 0.0000 0.0000  4 La 3.22, 4 Mn 3.22
3 La 0.2500 0.2500 0.2500  4 Cl 3.22, 4 La 3.22
4 Mn 0.7500 0.7500 0.7500  4 Cl 3.22, 4 La 3.22